Below is crystalline BaGeTeN2 at its relaxed geometry, with properties calculated at the GGA-PBEsol level.

Cell and atoms, written as CIF:
```
data_BaGeTeN2
_symmetry_space_group_name_H-M 'P 1'
_symmetry_Int_Tables_number 1
_cell_length_a 4.4260
_cell_length_b 4.4260
_cell_length_c 5.3202
_cell_angle_alpha 90.00
_cell_angle_beta 90.00
_cell_angle_gamma 90.00
loop_
_symmetry_equiv_pos_as_xyz
'x,y,z'
loop_
_atom_site_label
_atom_site_type_symbol
_atom_site_fract_x
_atom_site_fract_y
_atom_site_fract_z
Ge1 Ge 0.0000 0.0000 0.0000
Ba1 Ba 0.5000 0.5000 0.5000
Te1 Te 0.0000 0.0000 0.5000
N1 N 0.0000 0.5000 0.0000
N2 N 0.5000 0.0000 0.0000
```

Values from the calculation:
- volume (Å³/cell) = 104.2
- crystal system = tetragonal
- SG = P4/mmm
- uncorrected formation energy (meV/atom) = 635

***

Below is crystalline CaNdNb2O7 at its relaxed geometry, with properties calculated at the GGA-PBEsol level.

Cell and atoms, written as CIF:
```
data_CaNdNb2O7
_symmetry_space_group_name_H-M 'P 1'
_symmetry_Int_Tables_number 1
_cell_length_a 7.3147
_cell_length_b 7.4297
_cell_length_c 7.4297
_cell_angle_alpha 60.59
_cell_angle_beta 60.51
_cell_angle_gamma 60.51
loop_
_symmetry_equiv_pos_as_xyz
'x,y,z'
loop_
_atom_site_label
_atom_site_type_symbol
_atom_site_fract_x
_atom_site_fract_y
_atom_site_fract_z
Nb1 Nb 0.0000 0.5000 0.5000
Nb2 Nb 0.0000 0.0000 0.0000
Nb3 Nb 0.5000 0.0000 0.5000
Nb4 Nb 0.0000 0.0000 0.5000
O1 O 0.9237 0.9244 0.8253
O2 O 0.9237 0.3253 0.4244
O3 O 0.0669 0.6831 0.1831
O4 O 0.6734 0.0756 0.1747
O5 O 0.6734 0.6747 0.5756
O6 O 0.6265 0.6235 0.1235
O7 O 0.0763 0.6747 0.5756
O8 O 0.3386 0.9114 0.4114
O9 O 0.3266 0.9244 0.8253
O10 O 0.3735 0.3765 0.8765
O11 O 0.3266 0.3253 0.4244
O12 O 0.9331 0.3169 0.8169
O13 O 0.6614 0.0886 0.5886
O14 O 0.0763 0.0756 0.1747
Ca1 Ca 0.0000 0.5000 0.0000
Ca2 Ca 0.5000 0.5000 0.0000
Nd1 Nd 0.5000 0.0000 0.0000
Nd2 Nd 0.5000 0.5000 0.5000
```

Values from the calculation:
- volume (Å³/cell) = 289.0
- crystal system = orthorhombic
- SG = Imma
- uncorrected formation energy (meV/atom) = -2886